No. 1
Compound: TbSmDy2
Source: the Alexandria database
Functional: PBE-GGA
Structure: optimized geometry

```
TbSmDy2
1.0
5.6864 0.0000 0.0000
0.0000 7.2857 0.0000
0.0000 0.0000 6.2957
Tb Sm Dy
2 2 4
Direct
0.2500 0.2500 0.1677 Tb
0.7500 0.7500 0.8323 Tb
0.2500 0.7500 0.1671 Sm
0.7500 0.2500 0.8329 Sm
0.2500 0.5006 0.6657 Dy
0.2500 0.9994 0.6657 Dy
0.7500 0.0006 0.3343 Dy
0.7500 0.4994 0.3343 Dy
```

Properties
The value obtained for the energy above the most stable polymorph in this dataset is 3 meV per atom. Its energy of formation from the pure elements is 15 meV/atom. The symmetry is Pmmn, No. 59.

---

No. 2
Compound: TbSmDy
Source: the Alexandria database
Functional: PBE-GGA
Structure: optimized geometry

```
TbSmDy
1.0
4.8393 0.0000 0.0000
0.0000 4.8393 0.0000
0.0000 0.0000 8.6797
Tb Sm Dy
2 2 2
Direct
0.2500 0.7500 0.0000 Tb
0.7500 0.2500 0.0000 Tb
0.2500 0.2500 0.3034 Sm
0.7500 0.7500 0.6966 Sm
0.2500 0.2500 0.7007 Dy
0.7500 0.7500 0.2993 Dy
```

Properties
The value obtained for the energy above the most stable polymorph in this dataset is 191 meV per atom. Its energy of formation from the pure elements is 208 meV/atom. The symmetry is P4/nmm, No. 129.

---

No. 3
Compound: Tb10Sm4Dy
Source: the Alexandria database
Functional: PBE-GGA
Structure: optimized geometry

```
Tb10Sm4Dy
1.0
-6.1113 6.1113 3.8679
6.1113 -6.1113 3.8679
6.1113 6.1113 -3.8679
Tb Sm Dy
10 4 1
Direct
0.0494 0.3478 0.8996 Tb
0.1497 0.0494 0.7016 Tb
0.2500 0.7500 0.5000 Tb
0.3478 0.4481 0.2984 Tb
0.4481 0.1497 0.1004 Tb
0.5519 0.8503 0.8996 Tb
0.6522 0.5519 0.7016 Tb
0.7500 0.2500 0.5000 Tb
0.8503 0.9506 0.2984 Tb
0.9506 0.6522 0.1004 Tb
0.2010 0.3993 0.6003 Sm
0.3993 0.7990 0.1983 Sm
0.6007 0.2010 0.8017 Sm
0.7990 0.6007 0.3997 Sm
0.0000 0.0000 0.0000 Dy
```

Properties
Its energy of formation from the pure elements is 741 meV/atom. The symmetry is I4/m, No. 87.

---

| no. | DFT total energy (eV for the cell shown) |
| --- | --- |
| 1 | -36.98 |
| 2 | -26.65 |
| 3 | -58.67 |